a | Compound: CdIrSeBr2
Source: Alexandria via LeMat-Bulk
Functional: PBE-GGA
Structure: relaxed

Values from the calculation:
* magnetic moment: 0.62 μB per atom

extended XYZ file:
```
5
Lattice="5.279 0.000 0.000 0.000 5.279 0.000 0.000 0.000 5.439" Properties=species:S:1:pos:R:3 pbc="T T T"
Cd 0.000 0.000 0.000
Ir 2.639 2.639 2.720
Se 0.000 0.000 2.720
Br 0.000 2.639 0.000
Br 2.639 0.000 0.000
```

b | Compound: CdIrSeBr2
Source: Alexandria via LeMat-Bulk
Functional: PBE-GGA
Structure: relaxed

Values from the calculation:
* magnetic moment: 0.00 μB per atom

extended XYZ file:
```
5
Lattice="5.267 0.000 0.000 0.000 5.267 0.000 0.000 0.000 4.752" Properties=species:S:1:pos:R:3 pbc="T T T"
Cd 0.000 0.000 0.000
Ir 2.633 2.633 2.376
Se 2.633 2.633 0.000
Br 0.000 2.633 2.376
Br 2.633 0.000 2.376
```

b (921 meV per atom below the next structure)

a | Compound: KCdBr2
Source: Alexandria via LeMat-Bulk
Functional: PBE-GGA
Structure: relaxed

Values from the calculation:
* magnetic moment: 0.00 μB per atom

extended XYZ file:
```
8
Lattice="5.009 0.000 0.000 0.000 6.500 0.000 0.000 0.000 8.070" Properties=species:S:1:pos:R:3 pbc="T T T"
K 0.000 0.000 0.000
K 2.504 3.250 4.035
Cd 0.000 0.000 4.035
Cd 2.504 3.250 0.000
Br 0.000 3.250 1.761
Br 0.000 3.250 6.309
Br 2.504 0.000 2.274
Br 2.504 0.000 5.796
```

b | Compound: KCdBr2
Source: Alexandria via LeMat-Bulk
Functional: PBE-GGA
Structure: relaxed

Values from the calculation:
* magnetic moment: 0.00 μB per atom

extended XYZ file:
```
4
Lattice="5.492 0.000 0.000 0.000 5.492 0.000 0.000 0.000 3.890" Properties=species:S:1:pos:R:3 pbc="T T T"
K 0.000 0.000 0.000
Cd 2.746 2.746 0.000
Br 0.000 2.746 1.945
Br 2.746 0.000 1.945
```

b (15 meV per atom below the next structure)

a | Compound: KCdBr2
Source: Alexandria via LeMat-Bulk
Functional: PBE-GGA
Structure: relaxed

Values from the calculation:
* magnetic moment: 0.00 μB per atom

extended XYZ file:
```
8
Lattice="4.145 0.000 0.000 0.000 4.368 0.000 0.000 0.000 14.581" Properties=species:S:1:pos:R:3 pbc="T T T"
K 0.000 0.000 0.000
K 2.073 2.184 7.291
Cd 0.000 2.184 3.826
Cd 2.073 0.000 11.117
Br 0.000 0.000 8.620
Br 0.000 2.184 11.878
Br 2.073 0.000 4.587
Br 2.073 2.184 1.329
```

b | Compound: KCdBr2
Source: Alexandria via LeMat-Bulk
Functional: PBE-GGA
Structure: relaxed

Values from the calculation:
* magnetic moment: 0.00 μB per atom

extended XYZ file:
```
16
Lattice="7.857 0.000 0.000 0.000 7.857 0.000 0.000 0.000 7.857" Properties=species:S:1:pos:R:3 pbc="T T T"
K 0.000 0.000 0.000
K 0.000 3.928 3.928
K 3.928 0.000 3.928
K 3.928 3.928 0.000
Cd 0.000 0.000 3.928
Cd 0.000 3.928 0.000
Cd 3.928 0.000 0.000
Cd 3.928 3.928 3.928
Br 1.964 1.964 1.964
Br 1.964 1.964 5.893
Br 1.964 5.893 1.964
Br 1.964 5.893 5.893
Br 5.893 1.964 1.964
Br 5.893 1.964 5.893
Br 5.893 5.893 1.964
Br 5.893 5.893 5.893
```

c | Compound: KCdBr2
Source: Alexandria via LeMat-Bulk
Functional: PBE-GGA
Structure: relaxed

Values from the calculation:
* magnetic moment: 0.00 μB per atom

extended XYZ file:
```
16
Lattice="6.683 0.000 0.000 0.000 6.683 0.000 0.000 0.000 15.964" Properties=species:S:1:pos:R:3 pbc="T T T"
K 0.000 0.000 0.000
K 0.000 3.341 3.991
K 3.341 0.000 11.973
K 3.341 3.341 7.982
Cd 0.000 0.000 7.982
Cd 0.000 3.341 11.973
Cd 3.341 0.000 3.991
Cd 3.341 3.341 0.000
Br 1.337 1.671 9.978
Br 1.671 4.679 13.969
Br 1.671 5.346 5.987
Br 2.004 1.671 1.996
Br 4.679 5.012 1.996
Br 5.012 1.337 5.987
Br 5.012 2.004 13.969
Br 5.346 5.012 9.978
```

d | Compound: KCdBr2
Source: Alexandria via LeMat-Bulk
Functional: PBE-GGA
Structure: relaxed

Values from the calculation:
* magnetic moment: 0.00 μB per atom

extended XYZ file:
```
4
Lattice="4.570 0.000 0.000 0.000 6.387 0.000 0.000 0.000 4.570" Properties=species:S:1:pos:R:3 pbc="T T T"
K 0.000 0.000 0.000
Cd 2.285 3.194 2.291
Br 0.007 3.194 4.546
Br 2.286 0.000 2.283
```

d (57 meV per atom below the next structure)

a | Compound: KCd2Br
Source: Alexandria via LeMat-Bulk
Functional: PBE-GGA
Structure: relaxed

Values from the calculation:
* magnetic moment: 0.00 μB per atom

extended XYZ file:
```
16
Lattice="8.119 0.000 0.000 0.000 8.119 0.000 0.000 0.000 8.119" Properties=species:S:1:pos:R:3 pbc="T T T"
K 0.000 0.000 0.000
K 0.000 4.059 4.059
K 4.059 0.000 4.059
K 4.059 4.059 0.000
Cd 0.000 0.000 4.059
Cd 0.000 4.059 0.000
Cd 2.030 2.030 2.030
Cd 2.030 6.089 6.089
Cd 4.059 0.000 0.000
Cd 4.059 4.059 4.059
Cd 6.089 2.030 6.089
Cd 6.089 6.089 2.030
Br 2.030 2.030 6.089
Br 2.030 6.089 2.030
Br 6.089 2.030 2.030
Br 6.089 6.089 6.089
```

b | Compound: KCd2Br
Source: Alexandria via LeMat-Bulk
Functional: PBE-GGA
Structure: relaxed

Values from the calculation:
* magnetic moment: 0.00 μB per atom

extended XYZ file:
```
8
Lattice="8.562 0.000 0.000 0.000 5.216 0.000 -0.090 0.000 7.030" Properties=species:S:1:pos:R:3 pbc="T T T"
K 0.000 0.000 0.000
K 4.281 2.608 0.000
Cd 1.432 2.608 4.262
Cd 2.775 0.000 4.405
Cd 5.713 0.000 4.262
Cd 7.056 2.608 4.405
Br 1.343 2.608 1.247
Br 5.625 0.000 1.247
```

b (96 meV per atom below the next structure)

a | Compound: KCd2Br
Source: Alexandria via LeMat-Bulk
Functional: PBE-GGA
Structure: relaxed

Values from the calculation:
* magnetic moment: 0.00 μB per atom

extended XYZ file:
```
16
Lattice="9.714 0.000 0.000 0.000 9.714 0.000 0.000 0.000 6.149" Properties=species:S:1:pos:R:3 pbc="T T T"
K 0.000 0.000 0.000
K 0.000 4.857 1.537
K 4.857 0.000 4.611
K 4.857 4.857 3.074
Cd 2.209 2.428 3.843
Cd 2.428 7.066 5.380
Cd 2.428 7.505 2.306
Cd 2.648 2.428 0.769
Cd 7.066 7.285 0.769
Cd 7.285 2.209 2.306
Cd 7.285 2.648 5.380
Cd 7.505 7.285 3.843
Br 0.000 0.000 3.074
Br 0.000 4.857 4.611
Br 4.857 0.000 1.537
Br 4.857 4.857 0.000
```

b | Compound: KCd2Br
Source: Alexandria via LeMat-Bulk
Functional: PBE-GGA
Structure: relaxed

Values from the calculation:
* magnetic moment: 0.00 μB per atom

extended XYZ file:
```
12
Lattice="4.350 0.000 0.000 -2.175 3.767 0.000 0.000 0.000 27.689" Properties=species:S:1:pos:R:3 pbc="T T T"
K 0.000 0.000 0.000
K 0.000 2.511 18.459
K 2.175 1.256 9.230
Cd 0.000 0.000 6.614
Cd 0.000 0.000 21.075
Cd 0.000 2.511 11.846
Cd 0.000 2.511 25.073
Cd 2.175 1.256 2.616
Cd 2.175 1.256 15.844
Br 0.000 0.000 13.845
Br 0.000 2.511 4.615
Br 2.175 1.256 23.074
```

a (127 meV per atom below the next structure)

a | Compound: K2CdBr
Source: Alexandria via LeMat-Bulk
Functional: PBE-GGA
Structure: relaxed

Values from the calculation:
* magnetic moment: 0.00 μB per atom

extended XYZ file:
```
16
Lattice="8.564 0.000 0.000 0.000 8.564 0.000 0.000 0.000 8.564" Properties=species:S:1:pos:R:3 pbc="T T T"
K 2.141 2.141 2.141
K 2.141 2.141 6.423
K 2.141 6.423 2.141
K 2.141 6.423 6.423
K 6.423 2.141 2.141
K 6.423 2.141 6.423
K 6.423 6.423 2.141
K 6.423 6.423 6.423
Cd 0.000 0.000 0.000
Cd 0.000 4.282 4.282
Cd 4.282 0.000 4.282
Cd 4.282 4.282 0.000
Br 0.000 0.000 4.282
Br 0.000 4.282 0.000
Br 4.282 0.000 0.000
Br 4.282 4.282 4.282
```

b | Compound: K2CdBr
Source: Alexandria via LeMat-Bulk
Functional: PBE-GGA
Structure: relaxed

Values from the calculation:
* magnetic moment: 0.00 μB per atom

extended XYZ file:
```
4
Lattice="3.983 0.000 0.000 0.000 4.066 0.000 -0.008 0.000 9.016" Properties=species:S:1:pos:R:3 pbc="T T T"
K 0.002 0.000 2.534
K 3.973 0.000 6.483
Cd 1.992 2.033 0.000
Br 1.988 2.033 4.508
```

b (164 meV per atom below the next structure)

a | Compound: K2CdBr
Source: Alexandria via LeMat-Bulk
Functional: PBE-GGA
Structure: relaxed

Values from the calculation:
* magnetic moment: 0.00 μB per atom

extended XYZ file:
```
12
Lattice="4.461 0.000 0.000 -2.230 3.863 0.000 0.000 0.000 29.079" Properties=species:S:1:pos:R:3 pbc="T T T"
K 0.000 0.000 0.000
K 0.000 0.000 5.558
K 0.000 2.575 19.386
K 0.000 2.575 24.944
K 2.230 1.288 9.693
K 2.230 1.288 15.251
Cd 0.000 0.000 22.177
Cd 0.000 2.575 12.484
Cd 2.230 1.288 2.791
Br 0.000 0.000 17.318
Br 0.000 2.575 7.625
Br 2.230 1.288 27.011
```

b | Compound: K2CdBr
Source: Alexandria via LeMat-Bulk
Functional: PBE-GGA
Structure: relaxed

Values from the calculation:
* magnetic moment: 0.00 μB per atom

extended XYZ file:
```
16
Lattice="8.599 0.000 0.000 0.000 8.599 0.000 0.000 0.000 8.599" Properties=species:S:1:pos:R:3 pbc="T T T"
K 0.000 0.000 0.000
K 0.000 4.300 4.300
K 2.150 2.150 2.150
K 2.150 6.449 6.449
K 4.300 0.000 4.300
K 4.300 4.300 0.000
K 6.449 2.150 6.449
K 6.449 6.449 2.150
Cd 0.000 0.000 4.300
Cd 0.000 4.300 0.000
Cd 4.300 0.000 0.000
Cd 4.300 4.300 4.300
Br 2.150 2.150 6.449
Br 2.150 6.449 2.150
Br 6.449 2.150 2.150
Br 6.449 6.449 6.449
```

c | Compound: K2CdBr
Source: Alexandria via LeMat-Bulk
Functional: PBE-GGA
Structure: relaxed

Values from the calculation:
* magnetic moment: 0.00 μB per atom

extended XYZ file:
```
16
Lattice="9.196 0.000 0.000 0.000 9.196 0.000 0.000 0.000 8.843" Properties=species:S:1:pos:R:3 pbc="T T T"
K 1.899 2.299 1.105
K 2.299 6.497 3.316
K 2.299 7.296 7.737
K 2.698 2.299 5.527
K 6.497 6.897 5.527
K 6.897 1.899 7.737
K 6.897 2.698 3.316
K 7.296 6.897 1.105
Cd 0.000 0.000 4.421
Cd 0.000 4.598 6.632
Cd 4.598 0.000 2.211
Cd 4.598 4.598 0.000
Br 0.000 0.000 0.000
Br 0.000 4.598 2.211
Br 4.598 0.000 6.632
Br 4.598 4.598 4.421
```

a (92 meV per atom below the next structure)

a | Compound: K2CdBr
Source: Alexandria via LeMat-Bulk
Functional: PBE-GGA
Structure: relaxed

Values from the calculation:
* magnetic moment: 0.00 μB per atom

extended XYZ file:
```
8
Lattice="7.757 0.000 0.000 0.000 4.454 0.000 -2.541 0.000 9.680" Properties=species:S:1:pos:R:3 pbc="T T T"
K 1.296 0.000 2.063
K 0.041 2.227 7.617
K 5.174 2.227 2.063
K 3.920 0.000 7.617
Cd -1.271 0.000 4.840
Cd 2.608 2.227 4.840
Br 0.000 2.227 0.000
Br 3.879 0.000 0.000
```

b | Compound: K2CdBr
Source: Alexandria via LeMat-Bulk
Functional: PBE-GGA
Structure: relaxed

Values from the calculation:
* magnetic moment: 0.00 μB per atom

extended XYZ file:
```
8
Lattice="4.717 0.000 0.000 0.000 7.154 0.000 0.000 0.000 10.593" Properties=species:S:1:pos:R:3 pbc="T T T"
K 0.000 0.000 2.192
K 0.000 0.000 8.401
K 2.359 3.577 3.105
K 2.359 3.577 7.488
Cd 0.000 3.577 0.000
Cd 2.359 0.000 5.297
Br 0.000 3.577 5.297
Br 2.359 0.000 0.000
```

a (122 meV per atom below the next structure)

a | Compound: K2CdBr
Source: Alexandria via LeMat-Bulk
Functional: PBE-GGA
Structure: relaxed

Values from the calculation:
* magnetic moment: 0.00 μB per atom

extended XYZ file:
```
4
Lattice="4.309 0.000 0.000 0.000 5.896 0.000 0.000 0.000 5.904" Properties=species:S:1:pos:R:3 pbc="T T T"
K 0.000 0.000 0.000
K 0.001 2.948 2.945
Cd 2.156 2.948 5.896
Br 2.167 0.000 2.954
```

b | Compound: K2CdBr
Source: Alexandria via LeMat-Bulk
Functional: PBE-GGA
Structure: relaxed

Values from the calculation:
* magnetic moment: 0.00 μB per atom

extended XYZ file:
```
8
Lattice="4.862 0.000 0.000 0.000 4.862 0.000 0.000 0.000 14.120" Properties=species:S:1:pos:R:3 pbc="T T T"
K 0.000 0.000 0.000
K 0.000 2.431 3.530
K 2.431 0.000 10.590
K 2.431 2.431 7.060
Cd 0.000 0.000 7.060
Cd 2.431 2.431 0.000
Br 0.000 2.431 10.590
Br 2.431 0.000 3.530
```

c | Compound: K2CdBr
Source: Alexandria via LeMat-Bulk
Functional: PBE-GGA
Structure: relaxed

Values from the calculation:
* magnetic moment: 0.00 μB per atom

extended XYZ file:
```
8
Lattice="4.094 0.000 0.000 0.000 4.295 0.000 0.000 0.000 19.063" Properties=species:S:1:pos:R:3 pbc="T T T"
K 0.000 0.000 0.000
K 0.000 2.148 4.099
K 2.047 0.000 13.630
K 2.047 2.148 9.531
Cd 0.000 0.000 7.242
Cd 2.047 2.148 16.773
Br 0.000 2.148 12.145
Br 2.047 0.000 2.614
```

d | Compound: K2CdBr
Source: Alexandria via LeMat-Bulk
Functional: PBE-GGA
Structure: relaxed

Values from the calculation:
* magnetic moment: 0.00 μB per atom

extended XYZ file:
```
12
Lattice="4.707 0.000 0.000 -2.353 4.076 0.000 0.000 0.000 31.754" Properties=species:S:1:pos:R:3 pbc="T T T"
K 0.000 0.000 0.000
K 0.000 0.000 6.489
K 0.000 2.717 21.169
K 0.000 2.717 27.658
K 2.353 1.359 10.585
K 2.353 1.359 17.074
Cd 0.000 0.000 23.850
Cd 0.000 2.717 13.265
Cd 2.353 1.359 2.681
Br 0.000 0.000 15.396
Br 0.000 2.717 4.812
Br 2.353 1.359 25.981
```

c (52 meV per atom below the next structure)

a | Compound: KCdBr4
Source: Alexandria via LeMat-Bulk
Functional: PBE-GGA
Structure: relaxed

Values from the calculation:
* magnetic moment: 0.16 μB per atom

extended XYZ file:
```
12
Lattice="6.698 0.000 0.000 0.000 9.934 0.000 -1.472 0.000 6.947" Properties=species:S:1:pos:R:3 pbc="T T T"
K 0.278 2.484 3.251
K 4.948 7.451 3.696
Cd 2.394 7.451 0.247
Cd 2.832 2.484 6.700
Br 0.215 5.429 5.635
Br 0.215 9.472 5.635
Br 0.101 2.484 6.692
Br 1.757 7.451 2.737
Br 3.469 2.484 4.210
Br 5.125 7.451 0.255
Br 5.011 0.462 1.312
Br 5.011 4.505 1.312
```

b | Compound: KCdBr4
Source: Alexandria via LeMat-Bulk
Functional: PBE-GGA
Structure: relaxed

Values from the calculation:
* magnetic moment: 0.44 μB per atom

extended XYZ file:
```
6
Lattice="0.000 4.676 4.676 4.676 0.000 4.676 4.676 4.676 0.000" Properties=species:S:1:pos:R:3 pbc="T T T"
K 0.000 0.000 0.000
Cd 2.338 2.338 2.338
Br 5.842 3.509 3.509
Br 3.509 5.842 3.509
Br 3.509 3.509 5.842
Br 5.842 5.842 5.842
```

a (709 meV per atom below the next structure)

a | Compound: La2CdBr
Source: Alexandria via LeMat-Bulk
Functional: PBE-GGA
Structure: relaxed

Values from the calculation:
* magnetic moment: 0.00 μB per atom

extended XYZ file:
```
4
Lattice="3.968 0.000 0.000 0.000 5.063 0.000 0.000 0.000 6.361" Properties=species:S:1:pos:R:3 pbc="T T T"
La 0.000 0.000 0.000
La 1.984 0.000 3.180
Cd 0.000 2.532 3.180
Br 1.984 2.532 0.000
```

b | Compound: La2CdBr
Source: Alexandria via LeMat-Bulk
Functional: PBE-GGA
Structure: relaxed

Values from the calculation:
* magnetic moment: 0.00 μB per atom

extended XYZ file:
```
4
Lattice="3.626 0.000 0.000 0.000 3.626 0.000 0.000 0.000 8.810" Properties=species:S:1:pos:R:3 pbc="T T T"
La 0.000 0.000 2.186
La 0.000 0.000 6.625
Cd 1.813 1.813 0.000
Br 1.813 1.813 4.405
```

c | Compound: La2CdBr
Source: Alexandria via LeMat-Bulk
Functional: PBE-GGA
Structure: relaxed

Values from the calculation:
* magnetic moment: 0.00 μB per atom

extended XYZ file:
```
4
Lattice="3.858 0.000 0.000 0.000 3.879 0.000 0.000 0.000 8.811" Properties=species:S:1:pos:R:3 pbc="T T T"
La 0.000 0.000 1.949
La 0.000 0.000 6.862
Cd 1.929 1.940 0.000
Br 1.929 0.000 4.405
```

c (9 meV per atom below the next structure)